(1)
## Rb2Sn5Pb (PBE)

Data for Rb2Sn5Pb after structural relaxation.

Cell: 8.170 8.167 6.810 Å, 65.38 65.35 49.27°
Sites, in units of the cell vectors:
Rb1 0.000 0.000 0.500
Rb2 0.500 0.500 0.000
Sn1 0.132 0.132 0.868
Sn2 0.529 0.966 0.034
Sn3 0.529 0.966 0.471
Sn4 0.966 0.529 0.034
Sn5 0.966 0.529 0.471
Pb1 0.374 0.374 0.626

Values from the calculation:
* DFT formation energy: -98 meV/atom

(2)
## Sr4InAg (PBE)

Data for Sr4InAg after structural relaxation.

Cell: 6.261 7.938 9.503 Å, 90.00 99.98 90.00°
Sites, in units of the cell vectors:
Sr1 0.148 0.250 0.069
Sr2 0.215 0.750 0.372
Sr3 0.319 0.512 0.736
Sr4 0.319 0.988 0.736
Sr5 0.681 0.012 0.264
Sr6 0.681 0.488 0.264
Sr7 0.785 0.250 0.628
Sr8 0.852 0.750 0.931
In1 0.229 0.250 0.428
In2 0.771 0.750 0.572
Ag1 0.369 0.750 0.042
Ag2 0.631 0.250 0.958

Values from the calculation:
* DFT formation energy: -225 meV/atom

(3)
## Be2ZnCu2 (PBE)

Data for Be2ZnCu2 after structural relaxation.

Cell: 3.071 3.071 12.139 Å, 90.00 90.00 90.00°
Sites, in units of the cell vectors:
Be1 0.000 0.500 0.250
Be2 0.000 0.500 0.750
Be3 0.500 0.000 0.250
Be4 0.500 0.000 0.750
Zn1 0.000 0.000 0.000
Zn2 0.500 0.500 0.500
Cu1 0.000 0.000 0.391
Cu2 0.000 0.000 0.609
Cu3 0.500 0.500 0.109
Cu4 0.500 0.500 0.891

Values from the calculation:
* DFT formation energy: 97 meV/atom

(4)
## BaNd2Ag2Pb2 (PBE)

Data for BaNd2Ag2Pb2 after structural relaxation.

Cell: 10.160 10.160 10.160 Å, 29.00 29.00 29.00°
Sites, in units of the cell vectors:
Ba1 0.000 0.000 0.000
Nd1 0.138 0.138 0.138
Nd2 0.862 0.862 0.862
Ag1 0.446 0.446 0.446
Ag2 0.554 0.554 0.554
Pb1 0.256 0.256 0.256
Pb2 0.744 0.744 0.744

Values from the calculation:
* DFT formation energy: -383 meV/atom

(5)
## ZnPtW (PBE)

Data for ZnPtW after structural relaxation.

Cell: 2.816 2.816 6.742 Å, 90.00 90.00 120.00°
Sites, in units of the cell vectors:
Zn1 0.000 0.000 0.000
Pt1 0.667 0.333 0.328
W1 0.333 0.667 0.658

Values from the calculation:
* DFT formation energy: -19 meV/atom

(6)
## ScTlPd (PBE)

Data for ScTlPd after structural relaxation.

Cell: 4.788 4.788 6.083 Å, 90.00 90.00 120.00°
Sites, in units of the cell vectors:
Sc1 0.333 0.667 0.250
Sc2 0.667 0.333 0.750
Tl1 0.000 0.000 0.000
Tl2 0.000 0.000 0.500
Pd1 0.333 0.667 0.750
Pd2 0.667 0.333 0.250

Values from the calculation:
* DFT formation energy: -514 meV/atom

(7)
## PuTcGe2 (PBE)

Data for PuTcGe2 after structural relaxation.

Cell: 4.368 6.465 5.510 Å, 90.00 107.40 90.00°
Sites, in units of the cell vectors:
Pu1 0.044 0.250 0.134
Pu2 0.956 0.750 0.866
Tc1 0.127 0.750 0.411
Tc2 0.873 0.250 0.589
Ge1 0.416 0.047 0.724
Ge2 0.416 0.453 0.724
Ge3 0.584 0.547 0.276
Ge4 0.584 0.953 0.276

Values from the calculation:
* DFT formation energy: -308 meV/atom

(8)
## CaVGa2Ag (PBE)

Data for CaVGa2Ag after structural relaxation.

Cell: 5.301 5.301 5.119 Å, 90.00 90.00 90.00°
Sites, in units of the cell vectors:
Ca1 0.000 0.000 0.000
V1 0.500 0.500 0.500
Ga1 0.000 0.500 0.000
Ga2 0.500 0.000 0.000
Ag1 0.000 0.000 0.500

Values from the calculation:
* DFT formation energy: 1473 meV/atom